1.
Compound: HgMoOs2
Source: Alexandria
Functional: GGA-PBE
Structure: relaxed

Cell lengths 9.554, 9.554, 9.554 Å; angles 16.97, 16.97, 16.97 degrees
Fractional coordinates of all 4 atoms:
Hg  0.000  0.000  0.000
Mo  0.243  0.243  0.243
Os  0.498  0.498  0.498
Os  0.757  0.757  0.757

Values from the calculation:
E = -7.95 eV/atom
magnetization = 0.00 μB/f.u.

2.
Compound: RbPmAgI5
Source: Alexandria
Functional: GGA-PBE
Structure: relaxed

Cell lengths 8.599, 8.599, 11.675 Å; angles 102.90, 102.90, 107.24 degrees
Fractional coordinates of all 16 atoms:
Rb  0.142  0.858  0.750
Rb  0.858  0.142  0.250
Pm  0.500  0.500  0.000
Pm  0.500  0.500  0.500
Ag  0.189  0.811  0.250
Ag  0.811  0.189  0.750
I  0.123  0.259  0.943
I  0.180  0.584  0.394
I  0.259  0.123  0.443
I  0.416  0.820  0.106
I  0.418  0.582  0.750
I  0.582  0.418  0.250
I  0.584  0.180  0.894
I  0.741  0.877  0.557
I  0.820  0.416  0.606
I  0.877  0.741  0.057

Values from the calculation:
uncorrected formation energy = -1131 meV/atom
E = -3.17 eV/atom
magnetization = 0.00 μB/f.u.

3.
Compound: Zr6GaN
Source: Alexandria
Functional: GGA-PBE
Structure: relaxed

Cell lengths 5.247, 5.673, 5.766 Å; angles 99.63, 107.88, 93.52 degrees
Fractional coordinates of all 8 atoms:
Zr  0.071  0.285  0.154
Zr  0.237  0.829  0.466
Zr  0.365  0.379  0.743
Zr  0.635  0.621  0.257
Zr  0.763  0.171  0.534
Zr  0.929  0.715  0.846
Ga  0.500  0.000  0.000
N  0.000  0.500  0.500

Values from the calculation:
uncorrected formation energy = -526 meV/atom
E = -8.36 eV/atom
magnetization = 0.00 μB/f.u.

4.
Compound: Zr2AsN
Source: Alexandria
Functional: GGA-PBE
Structure: relaxed

Cell lengths 6.600, 6.600, 6.600 Å; angles 130.08, 130.08, 73.28 degrees
Fractional coordinates of all 8 atoms:
Zr  0.049  0.625  0.924
Zr  0.375  0.299  0.424
Zr  0.701  0.125  0.076
Zr  0.875  0.951  0.576
As  0.250  0.750  0.500
As  0.500  0.500  0.000
N  0.000  0.000  0.000
N  0.750  0.250  0.500

Values from the calculation:
energy relative to the lowest polymorph listed for this composition = 330 meV per atom
uncorrected formation energy = -947 meV/atom
E = -8.47 eV/atom
magnetization = 0.00 μB/f.u.

5.
Compound: Ti2Cd2I
Source: Alexandria
Functional: GGA-PBE
Structure: relaxed

Cell lengths 7.037, 7.037, 4.464 Å; angles 90.00, 90.00, 90.00 degrees
Fractional coordinates of all 10 atoms:
Ti  0.142  0.358  0.000
Ti  0.358  0.858  0.000
Ti  0.642  0.142  0.000
Ti  0.858  0.642  0.000
Cd  0.150  0.650  0.500
Cd  0.350  0.150  0.500
Cd  0.650  0.850  0.500
Cd  0.850  0.350  0.500
I  0.000  0.000  0.000
I  0.500  0.500  0.000

Values from the calculation:
uncorrected formation energy = 159 meV/atom
E = -3.68 eV/atom
magnetization = 0.60 μB/f.u.

6.
Compound: Cs2ThPaN4
Source: Alexandria
Functional: GGA-PBE
Structure: relaxed

Cell lengths 6.280, 3.779, 7.383 Å; angles 90.00, 104.30, 90.00 degrees
Fractional coordinates of all 8 atoms:
Cs  0.000  0.000  0.000
Cs  0.500  0.500  0.000
Th  0.000  0.500  0.500
Pa  0.500  0.000  0.500
N  0.240  0.000  0.649
N  0.290  0.500  0.348
N  0.710  0.500  0.652
N  0.760  0.000  0.351

Values from the calculation:
uncorrected formation energy = -868 meV/atom
E = -7.36 eV/atom
magnetization = 0.56 μB/f.u.

7.
Compound: RbY2Ag2
Source: Alexandria
Functional: GGA-PBE
Structure: relaxed

Cell lengths 9.118, 9.118, 3.452 Å; angles 90.00, 90.00, 90.00 degrees
Fractional coordinates of all 10 atoms:
Rb  0.000  0.000  0.000
Rb  0.500  0.500  0.000
Y  0.133  0.367  0.000
Y  0.367  0.867  0.000
Y  0.633  0.133  0.000
Y  0.867  0.633  0.000
Ag  0.156  0.656  0.500
Ag  0.344  0.156  0.500
Ag  0.656  0.844  0.500
Ag  0.844  0.344  0.500

Values from the calculation:
energy relative to the lowest polymorph listed for this composition = 0 meV per atom
E = -3.85 eV/atom
magnetization = 0.00 μB/f.u.

8.
Compound: Lu2RuF
Source: Alexandria
Functional: GGA-PBE
Structure: relaxed

Cell lengths 7.409, 7.409, 7.409 Å; angles 27.05, 27.05, 27.05 degrees
Fractional coordinates of all 4 atoms:
Lu  0.247  0.247  0.247
Lu  0.753  0.753  0.753
Ru  0.000  0.000  0.000
F  0.500  0.500  0.500

Values from the calculation:
uncorrected formation energy = -1323 meV/atom
E = -6.37 eV/atom
magnetization = 0.00 μB/f.u.